No. 1
A plane-wave DFT calculation with PBE was carried out for Li4ZnHg7 after structural relaxation.

Cell and atoms, written as extended XYZ:
```
12
Lattice="6.6022 -2.5127 0.0000 6.6022 2.5127 0.0000 -5.9061 0.0000 8.0595" Properties=species:S:1:pos:R:3 pbc="T T T"
Li -0.7372 0.0000 2.3234
Li -2.2413 0.0000 6.7964
Li 9.5396 0.0000 1.2632
Li 8.0355 0.0000 5.7361
Zn 3.6491 0.0000 4.0298
Hg -2.9530 0.0000 4.0298
Hg 1.4612 0.0000 0.6221
Hg 0.0475 0.0000 5.1254
Hg 4.6025 0.0000 1.3696
Hg 2.6958 0.0000 6.6899
Hg 7.2507 0.0000 2.9341
Hg 5.8371 0.0000 7.4374
```

## Properties
Energy of formation from the pure elements: -165 meV/atom
DFT total energy: -13.0 eV/cell


No. 2
A plane-wave DFT calculation with PBE was carried out for LiZnHg after structural relaxation.

Cell and atoms, written as extended XYZ:
```
12
Lattice="6.3129 0.0000 0.0000 0.0000 6.3129 0.0000 0.0000 0.0000 6.3129" Properties=species:S:1:pos:R:3 pbc="T T T"
Li 0.0000 0.0000 0.0000
Li 0.0000 3.1564 3.1564
Li 3.1564 0.0000 3.1564
Li 3.1564 3.1564 0.0000
Zn 1.5782 1.5782 4.7347
Zn 1.5782 4.7347 1.5782
Zn 4.7347 1.5782 1.5782
Zn 4.7347 4.7347 4.7347
Hg 0.0000 0.0000 3.1564
Hg 0.0000 3.1564 0.0000
Hg 3.1564 0.0000 0.0000
Hg 3.1564 3.1564 3.1564
```

## Properties
Offset from the most stable computed form: 41.4 kJ/mol of formula units
Energy of formation from the pure elements: -62 meV/atom
DFT total energy: -14.7 eV/cell


No. 3
A plane-wave DFT calculation with PBE was carried out for Li6ZnHg2 after structural relaxation.

Cell and atoms, written as extended XYZ:
```
9
Lattice="4.5873 0.0000 0.0000 -2.2937 3.9727 0.0000 0.0000 0.0000 8.4427" Properties=species:S:1:pos:R:3 pbc="T T T"
Li 0.0000 0.0000 1.5302
Li 0.0000 0.0000 6.9125
Li 0.0000 2.6485 0.5589
Li 0.0000 2.6485 3.4165
Li 2.2937 1.3242 5.0262
Li 2.2937 1.3242 7.8838
Zn 0.0000 0.0000 4.2213
Hg 0.0000 2.6485 6.2095
Hg 2.2937 1.3242 2.2332
```

## Properties
Offset from the most stable computed form: 0.0 kJ/mol of formula units
Energy of formation from the pure elements: -251 meV/atom
DFT total energy: -15.6 eV/cell


No. 4
A plane-wave DFT calculation with PBE was carried out for Li2ZnHg6 after structural relaxation.

Cell and atoms, written as extended XYZ:
```
9
Lattice="6.3242 -2.1725 0.0000 6.3242 2.1725 0.0000 -2.8752 0.0000 7.1001" Properties=species:S:1:pos:R:3 pbc="T T T"
Li -0.1952 0.0000 2.4121
Li 9.9684 0.0000 4.6880
Zn 6.3242 0.0000 0.0000
Hg -1.0082 0.0000 7.0444
Hg 1.7017 0.0000 4.7377
Hg 4.0591 0.0000 2.3024
Hg 5.7142 0.0000 4.7976
Hg 8.0715 0.0000 2.3624
Hg 10.7815 0.0000 0.0557
```

## Properties
Offset from the most stable computed form: 6.2 kJ/mol of formula units
Energy of formation from the pure elements: -134 meV/atom
DFT total energy: -8.1 eV/cell


No. 5
A plane-wave DFT calculation with PBE was carried out for Li8Zn2Hg after structural relaxation.

Cell and atoms, written as extended XYZ:
```
11
Lattice="3.7355 -6.1349 0.0000 3.7355 6.1349 0.0000 -1.9844 0.0000 4.3753" Properties=species:S:1:pos:R:3 pbc="T T T"
Li 0.2794 1.4239 2.6880
Li 3.7355 3.3941 0.0000
Li 0.2794 -1.4239 2.6880
Li 2.5622 0.0000 0.8077
Li 2.9245 0.0000 3.5677
Li 5.2073 1.4239 1.6873
Li 3.7355 -3.3941 0.0000
Li 5.2073 -1.4239 1.6873
Zn 2.7433 2.2946 2.1877
Zn 2.7433 -2.2946 2.1877
Hg 0.0000 0.0000 0.0000
```

## Properties
Offset from the most stable computed form: 79.0 kJ/mol of formula units
Energy of formation from the pure elements: -95 meV/atom
DFT total energy: -19.2 eV/cell


No. 6
A plane-wave DFT calculation with PBE was carried out for Li8ZnHg2 after structural relaxation.

Cell and atoms, written as extended XYZ:
```
11
Lattice="5.7844 -2.6197 0.0000 5.7844 2.6197 0.0000 -2.6874 0.0000 6.5941" Properties=species:S:1:pos:R:3 pbc="T T T"
Li 1.3037 0.0000 0.0261
Li 3.0614 1.3180 4.0158
Li 0.7648 0.0000 5.2099
Li 5.8200 1.3180 2.5783
Li 3.0614 -1.3180 4.0158
Li 8.1166 0.0000 1.3842
Li 5.8200 -1.3180 2.5783
Li 7.5777 0.0000 6.5680
Zn 5.7844 0.0000 0.0000
Hg 3.4976 0.0000 1.5903
Hg 5.3838 0.0000 5.0038
```

## Properties
Offset from the most stable computed form: 49.1 kJ/mol of formula units
Energy of formation from the pure elements: -153 meV/atom
DFT total energy: -18.9 eV/cell